(1)
A relaxed CaPuSb crystal. Source: Alexandria via LeMat-Bulk, functional PBE-GGA.

For the total energy, the calculation gives -7.21 eV per atom. The density comes out at 7.80 g/cm³. As for the formation energy from raw total energies: -0.387 eV/atom.

The structure belongs to space group I4mm (No. 107); the cell edges are 4.0947, 4.0947 and 10.3026 Å and the angles 90.00°, 90.00° and 90.00°. The inequivalent atoms are Ca at (0.0000, 0.0000, 0.0000), Pu at (0.0000, 0.0000, 0.6960) and Sb at (0.0000, 0.0000, 0.3495).

(2)
A relaxed CaPuSb2 crystal. Source: Alexandria via LeMat-Bulk, functional PBE-GGA.

For the total energy, the calculation gives -6.81 eV per atom. The energy above the lowest structure with this stoichiometry comes out at 13.2 kJ/mol of formula units. The density comes out at 7.91 g/cm³. As for the formation energy from raw total energies: -0.664 eV/atom.

The structure belongs to space group P4/mmm (No. 123); the cell edges are 3.6248, 3.6248 and 8.4306 Å and the angles 90.00°, 90.00° and 90.00°. The inequivalent atoms are Ca at (0.0000, 0.0000, 0.0000), Pu at (0.0000, 0.0000, 0.5000) and Sb at (0.5000, 0.5000, 0.2533).

(3)
A relaxed CaPuSb2 crystal. Source: Alexandria via LeMat-Bulk, functional PBE-GGA.

For the total energy, the calculation gives -6.76 eV per atom. The energy above the lowest structure with this stoichiometry comes out at 33.2 kJ/mol of formula units. The density comes out at 7.77 g/cm³. As for the formation energy from raw total energies: -0.612 eV/atom.

The structure belongs to space group Fm-3m (No. 225); the cell edges are 7.6703, 7.6703 and 7.6703 Å and the angles 90.00°, 90.00° and 90.00°. The inequivalent atoms are Ca at (0.0000, 0.0000, 0.0000), Pu at (0.0000, 0.0000, 0.5000) and Sb at (0.2500, 0.2500, 0.2500).